Here is Mg5Ir4 after structural relaxation from Alexandria via LeMat-Bulk. Energies are from GGA-PBE.

The structure belongs to space group I4/mmm (No. 139); the cell edges are 8.422, 8.422 and 4.140 Å and the angles 90.00°, 90.00° and 90.00°. The asymmetric unit holds Mg at (0.000, 0.000, 0.000), Mg at (0.176, 0.176, 0.500) and Ir at (0.000, 0.343, 0.000).

The energy above the lowest structure with this stoichiometry is 0.055 eV/f.u. The calculated formation energy is -176 meV per atom.


Here is MgIr2 after structural relaxation from Alexandria via LeMat-Bulk. Energies are from GGA-PBE.

The structure belongs to space group Pa-3 (No. 205); the cell edges are 6.035, 6.035 and 6.035 Å and the angles 90.00°, 90.00° and 90.00°. The asymmetric unit holds Mg at (0.000, 0.000, 0.000) and Ir at (0.114, 0.614, 0.886).

The calculated formation energy is 1137 meV per atom.


Here is MgIr5 after structural relaxation from Alexandria via LeMat-Bulk. Energies are from GGA-PBE.

The structure belongs to space group F-43m (No. 216); the cell edges are 7.299, 7.299 and 7.299 Å and the angles 90.00°, 90.00° and 90.00°. The asymmetric unit holds Mg at (0.000, 0.000, 0.000), Ir at (0.125, 0.125, 0.625) and Ir at (0.250, 0.250, 0.250).

The calculated formation energy is 350 meV per atom.


Here is MgIr3 after structural relaxation from Alexandria via LeMat-Bulk. Energies are from GGA-PBE.

The structure belongs to space group Pm-3n (No. 223); the cell edges are 4.978, 4.978 and 4.978 Å and the angles 90.00°, 90.00° and 90.00°. The asymmetric unit holds Mg at (0.000, 0.000, 0.000) and Ir at (0.000, 0.250, 0.500).

The calculated formation energy is 298 meV per atom.


Here is MgIr4 after structural relaxation from Alexandria via LeMat-Bulk. Energies are from GGA-PBE.

The structure belongs to space group Im-3m (No. 229); the cell edges are 5.579, 5.579 and 5.579 Å and the angles 90.00°, 90.00° and 90.00°. The asymmetric unit holds Mg at (0.000, 0.000, 0.000) and Ir at (0.250, 0.250, 0.250).

The energy above the lowest structure with this stoichiometry is 6.727 eV/f.u. The calculated formation energy is 1206 meV per atom.


Here is MgIr after structural relaxation from Alexandria via LeMat-Bulk. Energies are from GGA-PBE.

The structure belongs to space group Pm-3n (No. 223); the cell edges are 7.243, 7.243 and 7.243 Å and the angles 90.00°, 90.00° and 90.00°. The asymmetric unit holds Mg at (0.000, 0.250, 0.500) and Ir at (0.000, 0.500, 0.250).

The calculated formation energy is 1436 meV per atom.


Here is MgMnIr2 after structural relaxation from Alexandria via LeMat-Bulk. Energies are from GGA-PBE.

The structure belongs to space group Cmm2 (No. 35); the cell edges are 2.864, 4.707 and 9.040 Å and the angles 90.00°, 90.00° and 90.00°. The asymmetric unit holds Mg at (0.000, 0.000, 0.000), Mn at (0.000, 0.500, 0.265), Ir at (0.000, 0.000, 0.494) and Ir at (0.000, 0.500, 0.754).

The calculated formation energy is 188 meV per atom.


Here is MgMnIr2 after structural relaxation from Alexandria via LeMat-Bulk. Energies are from GGA-PBE.

The structure belongs to space group R3m (No. 160, hexagonal axes); the cell edges are 2.7543, 2.7543 and 26.7709 Å and the angles 90.00°, 90.00° and 120.00°. The asymmetric unit holds Mg at (0.0000, 0.0000, 0.0000), Mn at (0.0000, 0.0000, 0.2461), Ir at (0.0000, 0.0000, 0.5035) and Ir at (0.0000, 0.0000, 0.7509).

The calculated formation energy is 80 meV per atom.


Here is MgMnIr2 after structural relaxation from Alexandria via LeMat-Bulk. Energies are from GGA-PBE.

The structure belongs to space group P4/mmm (No. 123); the cell edges are 4.319, 4.319 and 3.058 Å and the angles 90.00°, 90.00° and 90.00°. The asymmetric unit holds Mg at (0.000, 0.000, 0.000), Mn at (0.500, 0.500, 0.000) and Ir at (0.000, 0.500, 0.500).

The calculated formation energy is -267 meV per atom.


Here is MgMnIr2 after structural relaxation from Alexandria via LeMat-Bulk. Energies are from GGA-PBE.

The structure belongs to space group Pm (No. 6); the cell edges are 2.715, 4.226 and 5.260 Å and the angles 90.00°, 104.90° and 90.00°. The asymmetric unit holds Mg at (0.000, 0.000, 0.000), Mn at (0.152, 0.500, 0.299), Ir at (0.395, 0.500, 0.789) and Ir at (0.742, 0.000, 0.481).

The calculated formation energy is -36 meV per atom.


Here is MgMnIr2 after structural relaxation from Alexandria via LeMat-Bulk. Energies are from GGA-PBE.

The structure belongs to space group C2/m (No. 12); the cell edges are 8.807, 2.816 and 4.842 Å and the angles 90.00°, 101.32° and 90.00°. The asymmetric unit holds Mg at (0.000, 0.000, 0.000), Mn at (0.000, 0.500, 0.500) and Ir at (0.245, 0.000, 0.743).

The calculated formation energy is -153 meV per atom.


Here is MgMnIr2 after structural relaxation from Alexandria via LeMat-Bulk. Energies are from GGA-PBE.

The structure belongs to space group P2/m (No. 10); the cell edges are 2.780, 4.185 and 5.321 Å and the angles 90.00°, 104.81° and 90.00°. The asymmetric unit holds Mg at (0.000, 0.000, 0.000), Mn at (0.000, 0.000, 0.500) and Ir at (0.384, 0.500, 0.738).

The calculated formation energy is -121 meV per atom.